Density functional theory data (GGA-PBE) for CuNiBiOs after structural relaxation.

Polymorph energy (0 for the lowest one) in meV per atom: 0.0

Cell lengths 6.318, 6.318, 6.318 Å; angles 90.00, 90.00, 90.00 degrees
Space group F-43m (No. 216)
Symmetry-distinct sites (fractional):
1 Cu 0.000 0.000 0.000
2 Ni 0.250 0.250 0.250
3 Bi 0.250 0.250 0.750
4 Os 0.000 0.000 0.500

=====

Density functional theory data (GGA-PBE) for Y2NbCo2 after structural relaxation.

Energy of formation in meV per atom: 762

Cell lengths 3.915, 3.915, 12.834 Å; angles 90.00, 90.00, 90.00 degrees
Space group I4/mmm (No. 139)
Symmetry-distinct sites (fractional):
1 Y 0.000 0.000 0.116
2 Nb 0.000 0.000 0.500
3 Co 0.000 0.500 0.250

=====

Density functional theory data (GGA-PBE) for DyHoTa after structural relaxation.

Energy of formation in meV per atom: 1293

Cell lengths 7.058, 7.058, 7.058 Å; angles 90.00, 90.00, 90.00 degrees
Space group F-43m (No. 216)
Symmetry-distinct sites (fractional):
1 Dy 0.000 0.000 0.000
2 Ho 0.250 0.250 0.250
3 Ta 0.000 0.000 0.500